No. 1
The following is a PBE calculation of a geometry-optimized MnAuS2 structure, from Alexandria via LeMat-Bulk.

Size of the total moment, μB per formula unit: 4.39
D(E_F), states/eV/atom: 0.78
Crystal system: tetragonal
Final energy, eV/atom: -4.96

Unit cell a=5.651 b=5.651 c=5.651 alpha=110.33 beta=110.33 gamma=107.77
Fractional coordinates of all 8 atoms:
Mn1 0.250 0.250 0.000
Mn2 0.750 0.750 0.000
Au1 0.250 0.750 0.500
Au2 0.750 0.250 0.500
S1 0.209 0.709 0.918
S2 0.291 0.209 0.500
S3 0.709 0.791 0.500
S4 0.791 0.291 0.082


No. 2
The following is a PBE calculation of a geometry-optimized MnAuS3 structure, from Alexandria via LeMat-Bulk.

Size of the total moment, μB per formula unit: 0.00
Excess energy over the best structure of this formula in the dataset, eV/atom: 0.000
D(E_F), states/eV/atom: 1.26
Crystal system: cubic

Unit cell a=4.437 b=4.437 c=4.437 alpha=90.00 beta=90.00 gamma=90.00
Fractional coordinates of all 5 atoms:
Mn1 0.000 0.000 0.000
Au1 0.500 0.500 0.500
S1 0.000 0.000 0.500
S2 0.000 0.500 0.000
S3 0.500 0.000 0.000